# 1
Here is an optimized crystal structure of TbPm2PrY6 from Alexandria via LeMat-Bulk. Energies are from GGA-PBE.

Cell lengths 9.1238, 15.0407, 9.9176 Å; angles 90.00, 100.56, 90.00 degrees
Closest atoms and distances in Å follow each position.
Space group C2/c (No. 15)
Symmetry-distinct sites (fractional):
1 Tb 0.0000 0.0176 0.2500  4 Pm 3.33-3.39, 4 Y 3.58-3.63
2 Pm 0.2374 0.0487 0.5437  5 Y 3.30-3.50, 2 Tb 3.33-3.39, 1 Pr 3.59
3 Pr 0.0000 0.4034 0.7500  8 Y 3.46-3.76, 2 Pm 3.59
4 Y 0.0678 0.1878 0.9439  7 Y 3.45-3.82, 1 Pm 3.50, 1 Tb 3.63, 1 Pr 3.76
5 Y 0.1005 0.3970 0.1198  4 Y 3.28-3.58, 3 Pm 3.30-3.49, 2 Pr 3.46-3.61
6 Y 0.1974 0.2236 0.3170  4 Y 3.28-3.67, 1 Pm 3.44, 1 Pr 3.52, 1 Tb 3.58

## Properties
N(E_F), states/eV per cell: 63.73
Formation energy from the elements, meV per atom: 117.5
Crystal system: monoclinic
Calculated total energy, eV/atom: -5.652

# 2
Here is an optimized crystal structure of Ac2ZrAs4Rh3 from Alexandria via LeMat-Bulk. Energies are from GGA-PBE.

Cell lengths 4.4136, 4.4136, 10.7095 Å; angles 90.00, 90.00, 90.00 degrees
Closest atoms and distances in Å follow each position.
Space group P-4m2 (No. 115)
Symmetry-distinct sites (fractional):
1 Ac 0.0000 0.5000 0.2296  8 As 3.30-3.39, 7 Rh 3.37-3.65, 2 Zr 3.64
2 Zr 0.0000 0.0000 0.5000  4 As 2.71
3 As 0.0000 0.0000 0.0000  4 Rh 2.51
4 As 0.0000 0.5000 0.6471  3 Rh 2.59-2.71, 2 Zr 2.71
5 As 0.5000 0.5000 0.0000  4 Rh 2.51
6 Rh 0.0000 0.5000 0.8889  5 As 2.51-2.59
7 Rh 0.5000 0.5000 0.5000  4 As 2.71

## Properties
N(E_F), states/eV per cell: 4.25
Formation energy from the elements, meV per atom: -978.0
Crystal system: tetragonal
Calculated total energy, eV/atom: -6.720

# 3
Here is an optimized crystal structure of NaZn2TeSe from Alexandria via LeMat-Bulk. Energies are from GGA-PBE.

Cell lengths 5.0123, 5.0123, 5.9539 Å; angles 90.00, 90.00, 90.00 degrees
Closest atoms and distances in Å follow each position.
Space group P4/mmm (No. 123)
Symmetry-distinct sites (fractional):
1 Na 0.0000 0.0000 0.0000  4 Te 3.54, 8 Zn 3.89
2 Zn 0.0000 0.5000 0.5000  2 Se 2.51
3 Te 0.5000 0.5000 0.0000  2 Se 2.98
4 Se 0.5000 0.5000 0.5000  4 Zn 2.51

## Properties
N(E_F), states/eV per cell: 1.04
Crystal system: tetragonal
Calculated total energy, eV/atom: -2.065
Formation energy without anion corrections, eV/atom: 0.033

# 4
Here is an optimized crystal structure of Ta2SbTe from Alexandria via LeMat-Bulk. Energies are from GGA-PBE.

Cell lengths 3.7076, 5.0240, 10.1713 Å; angles 90.00, 90.00, 90.00 degrees
Closest atoms and distances in Å follow each position.
Space group Cmm2 (No. 35)
Symmetry-distinct sites (fractional):
1 Ta 0.0000 0.0000 0.0000  6 Ta 2.82-3.12, 2 Sb 2.85
2 Ta 0.0000 0.5000 0.2084  6 Ta 2.82-3.12, 2 Te 2.84
3 Sb 0.0000 0.5000 0.7868  2 Ta 2.85, 4 Sb 3.12
4 Te 0.0000 0.0000 0.4198  2 Ta 2.84, 4 Te 3.12

## Properties
N(E_F), states/eV per cell: 3.72
ΔE to the lowest computed polymorph, eV per atom: 0.086
Crystal system: orthorhombic
Calculated total energy, eV/atom: -7.715
Formation energy without anion corrections, eV/atom: 0.027

# 5
Here is an optimized crystal structure of LaHfAg2 from Alexandria via LeMat-Bulk. Energies are from GGA-PBE.

Cell lengths 7.2542, 7.2542, 7.2542 Å; angles 90.00, 90.00, 90.00 degrees
Closest atoms and distances in Å follow each position.
Space group Fm-3m (No. 225)
Symmetry-distinct sites (fractional):
1 La 0.0000 0.0000 0.0000  8 Ag 3.14
2 Hf 0.0000 0.0000 0.5000  8 Ag 3.14
3 Ag 0.2500 0.2500 0.2500  4 Hf 3.14, 4 La 3.14

## Properties
N(E_F), states/eV per cell: 17.82
Formation energy from the elements, meV per atom: 66.5
ΔE to the lowest computed polymorph, eV per atom: 0.112
Crystal system: cubic
Calculated total energy, eV/atom: -5.079

# 6
Here is an optimized crystal structure of AcSb4 from Alexandria via LeMat-Bulk. Energies are from GGA-PBE.

Cell lengths 6.2000, 6.2000, 6.2000 Å; angles 90.00, 90.00, 90.00 degrees
Closest atoms and distances in Å follow each position.
Space group Pm-3m (No. 221)
Symmetry-distinct sites (fractional):
1 Ac 0.0000 0.0000 0.0000  6 Sb 3.10
2 Sb 0.0000 0.0000 0.5000  2 Ac 3.10
3 Sb 0.5000 0.5000 0.5000  12 Sb 4.38

## Properties
N(E_F), states/eV per cell: 7.48
Crystal system: cubic
Calculated total energy, eV/atom: -3.229
Formation energy without anion corrections, eV/atom: 0.890

# 7
Here is an optimized crystal structure of Pm2Ge3Pt5 from Alexandria via LeMat-Bulk. Energies are from GGA-PBE.

Cell lengths 10.0673, 13.1526, 5.8264 Å; angles 90.00, 90.00, 90.00 degrees
Closest atoms and distances in Å follow each position.
Space group Ibam (No. 72)
Symmetry-distinct sites (fractional):
1 Pm 0.2315 0.1332 0.0000  8 Pt 3.15-3.50, 6 Ge 3.17-3.50
2 Ge 0.0000 0.0000 0.2500  4 Pt 2.50
3 Ge 0.1479 0.3913 0.0000  5 Pt 2.42-2.53
4 Pt 0.0000 0.2818 0.2500  2 Ge 2.53, 2 Pt 2.74
5 Pt 0.0000 0.5000 0.2500  4 Ge 2.53
6 Pt 0.1132 0.1284 0.5000  3 Ge 2.42-2.50

## Properties
N(E_F), states/eV per cell: 15.23
Formation energy from the elements, meV per atom: -903.6
ΔE to the lowest computed polymorph, eV per atom: 0.000
Crystal system: orthorhombic
Calculated total energy, eV/atom: -6.259

# 8
Here is an optimized crystal structure of SrHfGe2Ir from Alexandria via LeMat-Bulk. Energies are from GGA-PBE.

Cell lengths 4.9239, 4.9239, 5.1508 Å; angles 90.00, 90.00, 90.00 degrees
Closest atoms and distances in Å follow each position.
Space group P4/mmm (No. 123)
Symmetry-distinct sites (fractional):
1 Sr 0.0000 0.0000 0.0000  4 Hf 3.48, 8 Ge 3.56
2 Hf 0.5000 0.5000 0.0000  2 Ir 2.58
3 Ge 0.0000 0.5000 0.5000  2 Ir 2.46
4 Ir 0.5000 0.5000 0.5000  4 Ge 2.46, 2 Hf 2.58

## Properties
N(E_F), states/eV per cell: 4.67
Formation energy from the elements, meV per atom: 135.3
Crystal system: tetragonal
Calculated total energy, eV/atom: -5.811

- Look up the N(E_F) of the fourth one.
  3.72 states/eV per cell

- The highest N(E_F) belongs to which entry?
  TbPm2PrY6